Below is an optimized crystal structure of RbNbS4, with properties calculated at the PBE-GGA level.

Summary:
Space-group type   C2/m (12)
Electronic total energy   -5.26 eV/atom
ΔE_f (raw)   -65 kJ/mol of atoms
Offset from the most stable computed form   21.59 kJ per mole of atoms
Total magnetic moment   0.603 Bohr magnetons per cell

Cell: 7.8642 7.8642 6.2887 Å, 91.18 91.18 62.88°
Last column: nearest neighbours and their distance in Å.
Sites, in units of the cell vectors:
Rb: 0.1694 0.1694 0.1826  8 S 3.44-3.75
Rb: 0.8306 0.8306 0.8174  8 S 3.44-3.75
Nb: 0.4950 0.4950 0.7259  7 S 2.46-2.62
Nb: 0.5050 0.5050 0.2741  7 S 2.46-2.62
S: 0.2082 0.5720 0.4712  1 S 2.31, 2 Nb 2.50-2.58
S: 0.2854 0.7146 0.0000  2 Nb 2.46
S: 0.3011 0.3011 0.6723  2 S 2.31
S: 0.4280 0.7918 0.5288  1 S 2.31, 2 Nb 2.50-2.58
S: 0.5720 0.2082 0.4712  1 S 2.31, 2 Nb 2.50-2.58
S: 0.6989 0.6989 0.3277  2 S 2.31
S: 0.7146 0.2854 0.0000  2 Nb 2.46
S: 0.7918 0.4280 0.5288  1 S 2.31, 2 Nb 2.50-2.58